A relaxed structure of ReAgB4. Source: the Open Quantum Materials Database, functional PBE.

Lattice parameters (Å, degrees): 2.9634 2.9634 7.7896 90.00 90.00 120.00
Closest atoms and distances in Å follow each position.
Positions (direct):
Re 0.0000 0.0000 0.0000  12 B 2.40
B 0.3333 0.6667 0.7834  3 B 1.71
B 0.3333 0.6667 0.2166  3 B 1.71
B 0.6667 0.3333 0.7834  3 B 1.71
B 0.6667 0.3333 0.2166  3 B 1.71
Ag 0.0000 0.0000 0.5000  12 B 2.79, 6 Ag 2.96

Values from the calculation:
Symmetry: P6/mmm
Mass density (g/cm³): 9.45
DFT total energy (eV per atom): -6.714
Relative energy among the computed polymorphs (meV per atom): 0